Record 1
A plane-wave DFT calculation with GGA-PBE was carried out for a relaxed structure of CdAs3W.

Cell: 4.940 4.940 4.940 Å, 90.00 90.00 90.00°
Atoms (fractional coordinates):
Cd 0.000 0.000 0.000
As 0.000 0.500 0.500
As 0.500 0.000 0.500
As 0.500 0.500 0.000
W 0.500 0.500 0.500

Results
Symmetry ... No. 221
Energy of formation from the pure elements ... 0.47 eV/atom

---

Record 2
A plane-wave DFT calculation with GGA-PBE was carried out for a relaxed structure of BaNiCl2.

Cell: 7.747 7.747 7.747 Å, 151.41 150.28 41.71°
Atoms (fractional coordinates):
Ba 0.000 0.000 0.000
Ni 0.831 0.331 0.500
Cl 0.332 0.832 0.500
Cl 0.599 0.599 0.000

Results
Symmetry ... No. 44
ΔE_f (raw) ... -0.894 eV/atom

---

Record 3
A plane-wave DFT calculation with GGA-PBE was carried out for a relaxed structure of SrLi2Au2.

Cell: 4.237 4.237 6.244 Å, 90.00 90.00 90.00°
Atoms (fractional coordinates):
Sr 0.000 0.000 0.000
Li 0.000 0.500 0.500
Li 0.500 0.000 0.500
Au 0.500 0.500 0.234
Au 0.500 0.500 0.766

Results
Symmetry ... No. 123
Energy of formation from the pure elements ... -0.58 eV/atom

---

Record 4
A plane-wave DFT calculation with GGA-PBE was carried out for a relaxed structure of CaMoPd2.

Cell: 9.261 9.261 9.261 Å, 152.75 152.75 38.92°
Atoms (fractional coordinates):
Ca 0.000 0.000 0.000
Ca 0.750 0.250 0.500
Mo 0.250 0.750 0.500
Mo 0.500 0.500 0.000
Pd 0.171 0.625 0.046
Pd 0.375 0.421 0.546
Pd 0.579 0.125 0.954
Pd 0.875 0.829 0.454

Results
Symmetry ... No. 122
Energy of formation from the pure elements ... 0.57 eV/atom

---

Record 5
A plane-wave DFT calculation with GGA-PBE was carried out for a relaxed structure of VCo3Ir.

Cell: 4.124 4.124 4.124 Å, 90.00 90.00 90.00°
Atoms (fractional coordinates):
V 0.000 0.000 0.000
Co 0.000 0.000 0.500
Co 0.000 0.500 0.000
Co 0.500 0.000 0.000
Ir 0.500 0.500 0.500

Results
Symmetry ... No. 221
Energy of formation from the pure elements ... 1.19 eV/atom

---

Record 6
A plane-wave DFT calculation with GGA-PBE was carried out for a relaxed structure of Hf6Zr12Bi.

Cell: 7.810 7.810 7.810 Å, 99.62 99.62 99.62°
Atoms (fractional coordinates):
Hf 0.158 0.601 0.601
Hf 0.399 0.399 0.842
Hf 0.399 0.842 0.399
Hf 0.601 0.158 0.601
Hf 0.601 0.601 0.158
Hf 0.842 0.399 0.399
Zr 0.000 0.258 0.742
Zr 0.000 0.742 0.258
Zr 0.160 0.160 0.432
Zr 0.160 0.432 0.160
Zr 0.258 0.000 0.742
Zr 0.258 0.742 0.000
Zr 0.432 0.160 0.160
Zr 0.568 0.840 0.840
Zr 0.742 0.000 0.258
Zr 0.742 0.258 0.000
Zr 0.840 0.568 0.840
Zr 0.840 0.840 0.568
Bi 0.500 0.500 0.500

Results
Symmetry ... No. 166
Energy of formation from the pure elements ... 0.10 eV/atom

---

Record 7
A plane-wave DFT calculation with GGA-PBE was carried out for a relaxed structure of Dy4Ho3Tl4.

Cell: 10.640 10.640 10.640 Å, 160.20 127.27 56.88°
Atoms (fractional coordinates):
Dy 0.025 0.838 0.187
Dy 0.349 0.162 0.187
Dy 0.651 0.838 0.813
Dy 0.975 0.162 0.813
Ho 0.000 0.500 0.500
Ho 0.403 0.403 0.000
Ho 0.597 0.597 0.000
Tl 0.269 0.769 0.500
Tl 0.280 0.000 0.280
Tl 0.720 0.000 0.720
Tl 0.731 0.231 0.500

Results
Symmetry ... No. 71
Energy of formation from the pure elements ... -0.22 eV/atom

---

Record 8
A plane-wave DFT calculation with GGA-PBE was carried out for a relaxed structure of Dy4Ga2O.

Cell: 6.360 6.735 8.461 Å, 90.00 109.30 90.00°
Atoms (fractional coordinates):
Dy 0.016 0.002 0.265
Dy 0.016 0.498 0.265
Dy 0.400 0.750 0.072
Dy 0.437 0.750 0.638
Dy 0.563 0.250 0.362
Dy 0.600 0.250 0.928
Dy 0.984 0.502 0.735
Dy 0.984 0.998 0.735
Ga 0.196 0.250 0.035
Ga 0.269 0.250 0.575
Ga 0.731 0.750 0.425
Ga 0.804 0.750 0.965
O 0.226 0.750 0.800
O 0.774 0.250 0.200

Results
Symmetry ... No. 11
ΔE_f (raw) ... -1.171 eV/atom

---

no.,calculated total energy (eV per atom),magnetic moment (μB per atom)
1,-5.097,0.00
2,-3.744,0.09
3,-2.994,0.00
4,-5.232,0.00
5,-6.674,0.47
6,-8.646,0.00
7,-4.001,0.00
8,-5.374,0.00